The following is a DFT calculation (meta-GGA SCAN) of a crystal of SmMnB4 relaxed with PBEsol.

Properties
The formation energy comes out at -619 meV/atom. As for the magnetic moment: 4.05 μB per cell.

Cell: 5.9388 11.4915 3.4157 Å, 90.00 90.00 90.00°
Closest atoms and distances in Å follow each position.
Space group Pbam (No. 55)
Symmetry-distinct sites (fractional):
Sm1 0.1247 0.1506 0.0000 (multiplicity 4)  14 B 2.61-2.73
Mn1 0.1253 0.4173 0.0000 (multiplicity 4)  10 B 2.25-2.28, 1 Mn 2.41
B1 0.0249 0.6892 0.5000 (multiplicity 4)  3 B 1.73-1.88
B2 0.1112 0.5455 0.5000 (multiplicity 4)  3 B 1.68-1.73
B3 0.1406 0.9672 0.5000 (multiplicity 4)  3 B 1.73-1.83
B4 0.2226 0.8175 0.5000 (multiplicity 4)  3 B 1.79-1.88

The following is a DFT calculation (meta-GGA SCAN) of a crystal of K2TlAg2 relaxed with PBEsol.

Properties
The formation energy comes out at 19 meV/atom. As for the magnetic moment: 0.00 μB per cell.

Cell: 7.4496 7.4496 5.2862 Å, 90.00 90.00 90.00°
Closest atoms and distances in Å follow each position.
Space group P4/mbm (No. 127)
Symmetry-distinct sites (fractional):
K1 0.1750 0.3250 0.0000 (multiplicity 4)  6 Ag 3.35-3.50, 1 K 3.69
Tl1 0.0000 0.0000 0.5000 (multiplicity 2)  4 Ag 2.92
Ag1 0.1301 0.6301 0.5000 (multiplicity 4)  1 Ag 2.74, 2 Tl 2.92

The following is a DFT calculation (meta-GGA SCAN) of a crystal of TlAuBr2 relaxed with PBEsol.

Properties
The value obtained for the polymorph energy (0 for the lowest one) is 0.0000 eV per atom. Its uncorrected formation energy is -163 kJ/mol of formula units. As for the magnetic moment: 0.00 μB per cell.

Cell: 5.2031 5.2031 22.3291 Å, 90.00 90.00 120.00°
Closest atoms and distances in Å follow each position.
Space group R-3m (No. 166, hexagonal axes)
Symmetry-distinct sites (fractional):
Tl1 0.0000 0.0000 0.0000 (multiplicity 3)  6 Br 3.29
Au1 0.0000 0.0000 0.5000 (multiplicity 3)  2 Br 2.38
Br1 0.0000 0.0000 0.3936 (multiplicity 6)  1 Au 2.38

The following is a DFT calculation (meta-GGA SCAN) of a crystal of Ho2AlSi2 relaxed with PBEsol.

Properties
Its uncorrected formation energy is -362 kJ/mol of formula units. As for the magnetic moment: 0.00 μB per cell.

Cell: 4.0434 5.6050 8.5862 Å, 90.00 90.00 90.00°
Closest atoms and distances in Å follow each position.
Space group Immm (No. 71)
Symmetry-distinct sites (fractional):
Ho1 0.0000 0.0000 0.2099 (multiplicity 4)  6 Si 2.96-2.97, 2 Al 3.21
Al1 0.0000 0.5000 0.0000 (multiplicity 2)  4 Si 2.59
Si1 0.0000 0.2889 0.5000 (multiplicity 4)  1 Si 2.37, 2 Al 2.59

The following is a DFT calculation (meta-GGA SCAN) of a crystal of K2PdSe10 relaxed with PBEsol.

Properties
Its uncorrected formation energy is -580 kJ/mol of formula units. As for the magnetic moment: 0.00 μB per cell.

Cell: 15.7050 15.7050 12.2665 Å, 90.00 90.00 90.00°
Closest atoms and distances in Å follow each position.
Space group I-42d (No. 122)
Symmetry-distinct sites (fractional):
K1 0.0906 0.1044 0.2502 (multiplicity 16)  5 Se 3.33-3.59
Pd1 0.0000 0.0000 0.0000 (multiplicity 4)  4 Se 2.44
Pd2 0.0000 0.0000 0.5000 (multiplicity 4)  4 Se 2.44
Se1 0.0057 0.1550 0.0068 (multiplicity 16)  1 Se 2.38, 1 Pd 2.44
Se2 0.0483 0.2408 0.5278 (multiplicity 16)  2 Se 2.37-2.40
Se3 0.0627 0.6422 0.7582 (multiplicity 16)  1 Se 2.37, 1 Pd 2.44
Se4 0.1427 0.1894 0.9364 (multiplicity 16)  2 Se 2.38-2.40
Se5 0.1805 0.7413 0.3358 (multiplicity 16)  2 Se 2.38-2.40

The following is a DFT calculation (meta-GGA SCAN) of a crystal of SrIn2W relaxed with PBEsol.

Properties
The formation energy comes out at 634 meV/atom. The value obtained for the polymorph energy (0 for the lowest one) is 0.1805 eV per atom. As for the magnetic moment: 0.00 μB per cell.

Cell: 6.3537 9.1827 2.9847 Å, 90.00 90.00 90.00°
Closest atoms and distances in Å follow each position.
Space group Cmmm (No. 65)
Symmetry-distinct sites (fractional):
Sr1 0.0000 0.0000 0.0000 (multiplicity 2)  2 Sr 2.98, 8 In 3.17, 2 W 3.18
In1 0.2500 0.2500 0.5000 (multiplicity 4)  4 In 2.98-3.18, 4 W 3.17, 4 Sr 3.17
W1 0.0000 0.5000 0.0000 (multiplicity 2)  2 W 2.98, 8 In 3.17, 2 Sr 3.18

The following is a DFT calculation (meta-GGA SCAN) of a crystal of RePRhCl2 relaxed with PBEsol.

Properties
The value obtained for the polymorph energy (0 for the lowest one) is 0.0000 eV per atom. Its uncorrected formation energy is 465 kJ/mol of formula units. As for the magnetic moment: 1.12 μB per cell.

Cell: 4.6125 4.6125 4.6295 Å, 90.00 90.00 90.00°
Closest atoms and distances in Å follow each position.
Space group P4/mmm (No. 123)
Symmetry-distinct sites (fractional):
Re1 0.0000 0.0000 0.0000 (multiplicity 1)  4 Cl 2.31, 2 P 2.31
P1 0.0000 0.0000 0.5000 (multiplicity 1)  2 Re 2.31
Rh1 0.5000 0.5000 0.5000 (multiplicity 1)  4 P 3.26, 8 Cl 3.27
Cl1 0.0000 0.5000 0.0000 (multiplicity 2)  2 Re 2.31

The following is a DFT calculation (meta-GGA SCAN) of a crystal of LiRuS2 relaxed with PBEsol.

Properties
Its uncorrected formation energy is -41 kJ/mol of formula units. As for the magnetic moment: 0.00 μB per cell.

Cell: 2.8440 2.8440 23.9791 Å, 90.00 90.00 120.00°
Closest atoms and distances in Å follow each position.
Space group R-3m (No. 166, hexagonal axes)
Symmetry-distinct sites (fractional):
Li1 0.0000 0.0000 0.0000 (multiplicity 3)  6 S 2.43
Ru1 0.0000 0.0000 0.5000 (multiplicity 3)  2 S 2.21
S1 0.0000 0.0000 0.4080 (multiplicity 6)  1 Ru 2.21, 3 Li 2.43

The following is a DFT calculation (meta-GGA SCAN) of a crystal of TaCrSb2 relaxed with PBEsol.

Properties
The value obtained for the polymorph energy (0 for the lowest one) is 0.0000 eV per atom. Its uncorrected formation energy is 95 kJ/mol of formula units. As for the magnetic moment: 2.81 μB per cell.

Cell: 4.6964 4.6964 3.3255 Å, 90.00 90.00 90.00°
Closest atoms and distances in Å follow each position.
Space group P4/mmm (No. 123)
Symmetry-distinct sites (fractional):
Ta1 0.0000 0.0000 0.0000 (multiplicity 1)  8 Sb 2.88
Cr1 0.5000 0.5000 0.0000 (multiplicity 1)  8 Sb 2.88
Sb1 0.0000 0.5000 0.5000 (multiplicity 2)  4 Cr 2.88, 4 Ta 2.88

The following is a DFT calculation (meta-GGA SCAN) of a crystal of Gd3Se2NO relaxed with PBEsol.

Properties
Its uncorrected formation energy is -1671 kJ/mol of formula units. As for the magnetic moment: 27.93 μB per cell.

Cell: 15.4182 3.9083 9.6349 Å, 90.00 96.57 90.00°
Closest atoms and distances in Å follow each position.
Space group C2/m (No. 12)
Symmetry-distinct sites (fractional):
Gd1 0.0420 0.0000 0.2640 (multiplicity 4)  1 N 2.23, 2 O 2.28
Gd2 0.1100 0.5000 0.9472 (multiplicity 4)  2 O 2.29-2.32, 2 N 2.34
Gd3 0.2000 0.0000 0.6733 (multiplicity 4)  1 N 2.16
Se1 0.1272 0.5000 0.4758 (multiplicity 4)  5 Gd 2.87-3.17
Se2 0.2108 0.0000 0.1502 (multiplicity 4)  6 Gd 2.84-3.06
N1 0.0998 0.0000 0.8130 (multiplicity 4)  4 Gd 2.16-2.34
O1 0.0339 0.5000 0.1415 (multiplicity 4)  4 Gd 2.28-2.32

The following is a DFT calculation (meta-GGA SCAN) of a crystal of ScTl3 relaxed with PBEsol.

Properties
The formation energy comes out at -78 meV/atom. As for the magnetic moment: 0.00 μB per cell.

Cell: 3.4142 3.4142 10.1790 Å, 90.00 90.00 120.00°
Closest atoms and distances in Å follow each position.
Space group P-6m2 (No. 187)
Symmetry-distinct sites (fractional):
Sc1 0.0000 0.0000 0.0000 (multiplicity 1)  6 Tl 3.09, 6 Sc 3.41
Tl1 0.0000 0.0000 0.5000 (multiplicity 1)  12 Tl 3.35-3.41
Tl2 0.3333 0.6667 0.2334 (multiplicity 2)  3 Sc 3.09, 9 Tl 3.35-3.41

Which of these has the highest magnetic moment?
Gd3Se2NO

What is the formula in the second record?
K2TlAg2

Among the records above, which one has the highest magnetic moment?
Gd3Se2NO